No. 1
First-principles (SCAN) data for a PBEsol-optimized structure of La2Cu2P, as listed in the Alexandria database.

Cell: 5.6543 5.6543 6.7174 Å, 90.00 90.00 90.00°
Space group I4/mmm (No. 139)
Inequivalent atoms, fractional coordinates:
La 0.0000 0.5000 0.2500
Cu 0.0000 0.0000 0.1636
P 0.0000 0.0000 0.5000

Output
Energy of formation from the pure elements   -0.38 eV/atom
M_tot   0.66 μB per formula unit

No. 2
First-principles (SCAN) data for a PBEsol-optimized structure of AsRhAuBr2, as listed in the Alexandria database.

Cell: 5.0656 5.0656 4.5646 Å, 90.00 90.00 90.00°
Space group P4/mmm (No. 123)
Inequivalent atoms, fractional coordinates:
As 0.0000 0.0000 0.0000
Rh 0.0000 0.0000 0.5000
Au 0.5000 0.5000 0.0000
Br 0.0000 0.5000 0.5000

Output
Raw formation energy   10.4 kcal/mol of atoms
M_tot   0.00 μB per formula unit

No. 3
First-principles (SCAN) data for a PBEsol-optimized structure of LaHgIr2, as listed in the Alexandria database.

Cell: 6.7862 6.7862 6.7862 Å, 90.00 90.00 90.00°
Space group F-43m (No. 216)
Inequivalent atoms, fractional coordinates:
La 0.0000 0.0000 0.0000
Hg 0.2500 0.2500 0.2500
Ir 0.0000 0.0000 0.5000
Ir 0.2500 0.2500 0.7500

Output
Energy of formation from the pure elements   0.24 eV/atom
M_tot   0.61 μB per formula unit

No. 4
First-principles (SCAN) data for a PBEsol-optimized structure of ZrAl2P, as listed in the Alexandria database.

Cell: 2.8836 4.5279 5.1301 Å, 90.00 90.00 90.00°
Space group Pmm2 (No. 25)
Inequivalent atoms, fractional coordinates:
Zr 0.0000 0.0000 0.0000
Al 0.5000 0.0000 0.4991
Al 0.5000 0.5000 0.7517
P 0.5000 0.5000 0.2328

Output
Energy of formation from the pure elements   -0.38 eV/atom
M_tot   0.00 μB per formula unit

No. 5
First-principles (SCAN) data for a PBEsol-optimized structure of PdCN2F, as listed in the Alexandria database.

Cell: 3.4661 3.4661 3.3684 Å, 90.00 90.00 90.00°
Space group P4/mmm (No. 123)
Inequivalent atoms, fractional coordinates:
Pd 0.0000 0.0000 0.0000
C 0.5000 0.5000 0.5000
N 0.0000 0.5000 0.5000
F 0.5000 0.5000 0.0000

Output
Raw formation energy   42.0 kcal/mol of atoms
M_tot   0.00 μB per formula unit

No. 6
First-principles (SCAN) data for a PBEsol-optimized structure of Al2TlCl, as listed in the Alexandria database.

Cell: 3.2299 5.5621 9.6764 Å, 90.00 90.00 90.00°
Space group Cmm2 (No. 35)
Inequivalent atoms, fractional coordinates:
Al 0.0000 0.0000 0.0000
Al 0.0000 0.5000 0.2219
Tl 0.0000 0.5000 0.7306
Cl 0.0000 0.0000 0.4054

Output
Raw formation energy   -3.8 kcal/mol of atoms
M_tot   0.00 μB per formula unit
Energy above the lowest structure with this stoichiometry   0 meV per atom

No. 7
First-principles (SCAN) data for a PBEsol-optimized structure of CaInSe2, as listed in the Alexandria database.

Cell: 6.2586 6.2586 13.8164 Å, 90.00 90.00 90.00°
Space group I-42d (No. 122)
Inequivalent atoms, fractional coordinates:
Ca 0.0000 0.0000 0.0000
In 0.0000 0.0000 0.5000
Se 0.2385 0.2500 0.6250

Output
Raw formation energy   -25.3 kcal/mol of atoms
M_tot   0.00 μB per formula unit

No. 8
First-principles (SCAN) data for a PBEsol-optimized structure of MnFeRe, as listed in the Alexandria database.

Cell: 2.5688 2.5688 10.6337 Å, 90.00 90.00 90.00°
Space group I4mm (No. 107)
Inequivalent atoms, fractional coordinates:
Mn 0.0000 0.0000 0.0000
Fe 0.0000 0.0000 0.3568
Re 0.0000 0.0000 0.6808

Output
Energy of formation from the pure elements   0.16 eV/atom
M_tot   0.36 μB per formula unit

No. 9
First-principles (SCAN) data for a PBEsol-optimized structure of KCd3Te, as listed in the Alexandria database.

Cell: 5.8072 5.8072 5.8072 Å, 90.00 90.00 90.00°
Space group Pm-3m (No. 221)
Inequivalent atoms, fractional coordinates:
K 0.0000 0.0000 0.0000
Cd 0.0000 0.5000 0.5000
Te 0.5000 0.5000 0.5000

Output
Raw formation energy   5.2 kcal/mol of atoms
M_tot   0.00 μB per formula unit

No. 10
First-principles (SCAN) data for a PBEsol-optimized structure of Mn2ReSi, as listed in the Alexandria database.

Cell: 2.8033 2.8033 5.8640 Å, 90.00 90.00 90.00°
Space group P4/mmm (No. 123)
Inequivalent atoms, fractional coordinates:
Mn 0.0000 0.0000 0.2307
Re 0.5000 0.5000 0.5000
Si 0.5000 0.5000 0.0000

Output
Raw formation energy   -4.6 kcal/mol of atoms
M_tot   0.00 μB per formula unit

No. 11
First-principles (SCAN) data for a PBEsol-optimized structure of MgTc2Os, as listed in the Alexandria database.

Cell: 2.8691 4.5213 9.1393 Å, 90.00 90.00 90.00°
Space group Cmmm (No. 65)
Inequivalent atoms, fractional coordinates:
Mg 0.0000 0.0000 0.0000
Tc 0.0000 0.5000 0.2588
Os 0.0000 0.0000 0.5000

Output
Energy of formation from the pure elements   0.34 eV/atom
M_tot   0.00 μB per formula unit

No. 12
First-principles (SCAN) data for a PBEsol-optimized structure of Be24Rh5, as listed in the Alexandria database.

Cell: 7.9859 7.9859 7.9859 Å, 90.00 90.00 90.00°
Space group I-43m (No. 217)
Inequivalent atoms, fractional coordinates:
Be 0.0318 0.3558 0.3558
Be 0.0900 0.0900 0.2769
Rh 0.0000 0.0000 0.0000
Rh 0.1968 0.1968 0.8032

Output
Energy of formation from the pure elements   -0.40 eV/atom
M_tot   0.00 μB per formula unit

no.,raw total energy (eV per atom)
1,-25.780
2,-31.958
3,-63.131
4,-14.526
5,-11.179
6,-24.125
7,-21.900
8,-35.667
9,-27.138
10,-29.606
11,-36.408
12,-9.826